# Pm5Al2Hg2 | the Alexandria database | PBE-GGA | optimized geometry
data_Pm5Al2Hg2
_cell_length_a 7.844
_cell_length_b 7.986
_cell_length_c 9.237
_cell_angle_alpha 115.61
_cell_angle_beta 90.00
_cell_angle_gamma 90.00
_symmetry_space_group_name_H-M 'P 1'
_symmetry_Int_Tables_number 1
_symmetry_space_group_name_Hall 'P 1'
loop_
_atom_site_label
_atom_site_type_symbol
_atom_site_fract_x
_atom_site_fract_y
_atom_site_fract_z
Pm1 Pm 0.000 0.000 0.000
Pm2 Pm 0.500 0.500 0.000
Pm3 Pm 0.825 0.821 0.271
Pm4 Pm 0.175 0.450 0.271
Pm5 Pm 0.325 0.950 0.271
Pm6 Pm 0.675 0.321 0.271
Pm7 Pm 0.175 0.179 0.729
Pm8 Pm 0.825 0.550 0.729
Pm9 Pm 0.675 0.050 0.729
Pm10 Pm 0.325 0.679 0.729
Al1 Al 0.616 0.883 0.000
Al2 Al 0.384 0.117 0.000
Al3 Al 0.116 0.617 0.000
Al4 Al 0.884 0.383 0.000
Hg1 Hg 0.000 0.215 0.430
Hg2 Hg 0.500 0.715 0.430
Hg3 Hg 0.000 0.785 0.570
Hg4 Hg 0.500 0.285 0.570
# crystal system	orthorhombic
# energy relative to the elements	-0.36	eV per atom